[1]
## Tb3Y6Er2In (GGA-PBE)

Data for Tb3Y6Er2In after structural relaxation.

Its formation energy is -36 meV/atom. The theoretical density is 6.5 g/cm³. For the density of states at the Fermi level, the calculation gives 1.47 states/eV/atom.

Structure (CIF):
```
data_Tb3Y6Er2In
_cell_length_a 6.113
_cell_length_b 10.597
_cell_length_c 11.632
_cell_angle_alpha 90.00
_cell_angle_beta 100.17
_cell_angle_gamma 90.00
_space_group_name_H-M_alt 'C 1 2/m 1'
_space_group_IT_number 12
_space_group_name_Hall '-C 2y'
loop_
_atom_site_label
_atom_site_fract_x
_atom_site_fract_y
_atom_site_fract_z
Tb1 0.000 0.000 0.000
Tb2 0.000 0.333 0.000
Y1 0.245 0.336 0.745
Y2 0.247 0.500 0.254
Er1 0.000 0.166 0.500
In1 0.000 0.500 0.500
```

=====

[2]
## SmIn2Hg9 (GGA-PBE)

Data for SmIn2Hg9 after structural relaxation.

Its formation energy is -106 meV/atom. The theoretical density is 11.8 g/cm³. For the density of states at the Fermi level, the calculation gives 0.55 states/eV/atom.

Structure (CIF):
```
data_SmIn2Hg9
_cell_length_a 4.942
_cell_length_b 4.942
_cell_length_c 12.619
_cell_angle_alpha 90.00
_cell_angle_beta 90.00
_cell_angle_gamma 90.00
_space_group_name_H-M_alt 'P 4/m m m'
_space_group_IT_number 123
_space_group_name_Hall '-P 4 2'
loop_
_atom_site_label
_atom_site_fract_x
_atom_site_fract_y
_atom_site_fract_z
Sm1 0.000 0.000 0.000
In1 0.000 0.000 0.330
Hg1 0.000 0.500 0.167
Hg2 0.000 0.500 0.500
Hg3 0.500 0.500 0.000
Hg4 0.500 0.500 0.334
```

=====

[3]
## BAuSe (GGA-PBE)

Data for BAuSe after structural relaxation.

The theoretical density is 8.6 g/cm³. Its raw formation energy is 207 meV per atom. For the density of states at the Fermi level, the calculation gives 0.12 states/eV/atom.

Structure (CIF):
```
data_BAuSe
_cell_length_a 4.001
_cell_length_b 4.863
_cell_length_c 6.216
_cell_angle_alpha 67.09
_cell_angle_beta 85.62
_cell_angle_gamma 84.64
_space_group_name_H-M_alt 'P 1'
_space_group_IT_number 1
_space_group_name_Hall 'P 1'
loop_
_atom_site_label
_atom_site_fract_x
_atom_site_fract_y
_atom_site_fract_z
B1 0.000 0.000 0.000
B2 0.364 0.034 0.107
Au1 0.381 0.214 0.408
Au2 0.646 0.390 0.886
Se1 0.116 0.809 0.755
Se2 0.689 0.693 0.280
```